DFT (PBE-GGA) results for an optimized crystal structure of NdNpP2Rh5.

Summary:
Crystal system: tetragonal
Electronic total energy: -7.530 eV/atom
Energy of formation: -0.276 eV per atom

```
NdNpP2Rh5
1.0
4.3921 0.0000 0.0000
0.0000 4.3921 0.0000
0.0000 0.0000 10.1041
Nd Np P Rh
1 1 2 5
Direct
0.0000 0.0000 0.0000
0.5000 0.5000 0.5000
0.5000 0.5000 0.2403
0.5000 0.5000 0.7597
0.0000 0.5000 0.2038
0.0000 0.5000 0.7962
0.5000 0.0000 0.2038
0.5000 0.0000 0.7962
0.5000 0.5000 0.0000
```

***

DFT (PBE-GGA) results for an optimized crystal structure of DyTh2Ni2.

Summary:
Crystal system: triclinic
Electronic total energy: -6.432 eV/atom
Excess energy over the best structure of this formula in the dataset: 10.19 kJ/mol of atoms
Energy of formation: -0.231 eV per atom

```
DyTh2Ni2
1.0
6.3777 0.0000 0.0000
2.1889 6.0375 0.0000
2.6070 1.5904 6.1633
Dy Th Ni
2 4 4
Direct
0.1315 0.1945 0.3003
0.8685 0.8055 0.6997
0.1939 0.1359 0.7990
0.3770 0.6245 0.2471
0.6230 0.3755 0.7529
0.8061 0.8641 0.2010
0.1851 0.5867 0.9426
0.4086 0.8148 0.5576
0.5914 0.1852 0.4424
0.8149 0.4133 0.0574
```

***

DFT (PBE-GGA) results for an optimized crystal structure of ZrCr2Te.

Summary:
ΔE_f (raw): 0.367 eV per atom
Crystal system: cubic
Electronic total energy: -7.367 eV/atom

```
ZrCr2Te
1.0
6.7118 0.0000 0.0000
0.0000 6.7118 0.0000
0.0000 0.0000 6.7118
Zr Cr Te
4 8 4
Direct
0.0000 0.0000 0.0000
0.0000 0.5000 0.5000
0.5000 0.0000 0.5000
0.5000 0.5000 0.0000
0.0000 0.0000 0.5000
0.0000 0.5000 0.0000
0.2500 0.2500 0.7500
0.2500 0.7500 0.2500
0.5000 0.0000 0.0000
0.5000 0.5000 0.5000
0.7500 0.2500 0.2500
0.7500 0.7500 0.7500
0.2500 0.2500 0.2500
0.2500 0.7500 0.7500
0.7500 0.2500 0.7500
0.7500 0.7500 0.2500
```